Entry 1:
This record from the Alexandria database describes crystalline OsCl at its relaxed geometry. The functional is PBE-GGA.

Output
As for the energy relative to the elements, uncorrected: 3.6 eV per formula unit. The calculation puts the density of states at the Fermi level at 2.16 states/eV per cell.

CIF file:
```
data_OsCl
_symmetry_space_group_name_H-M 'P 4/m m m'
_symmetry_Int_Tables_number 123
_symmetry_space_group_name_Hall '-P 4 2'
_cell_length_a 2.882
_cell_length_b 2.882
_cell_length_c 3.636
_cell_angle_alpha 90.00
_cell_angle_beta 90.00
_cell_angle_gamma 90.00
loop_
_atom_site_label
_atom_site_fract_x
_atom_site_fract_y
_atom_site_fract_z
Os1 0.000 0.000 0.000
Cl1 0.500 0.500 0.500
```

=====

Entry 2:
This record from the Alexandria database describes crystalline SrFeAs at its relaxed geometry. The functional is PBE-GGA.

Output
The calculation puts the density of states at the Fermi level at 4.64 states/eV per cell. As for the formation energy: -428 meV/atom.

CIF file:
```
data_SrFeAs
_symmetry_space_group_name_H-M 'P -6 m 2'
_symmetry_Int_Tables_number 187
_symmetry_space_group_name_Hall 'P -6 2'
_cell_length_a 4.2067
_cell_length_b 4.2067
_cell_length_c 4.5482
_cell_angle_alpha 90.00
_cell_angle_beta 90.00
_cell_angle_gamma 120.00
loop_
_atom_site_label
_atom_site_fract_x
_atom_site_fract_y
_atom_site_fract_z
Sr1 0.0000 0.0000 0.0000
Fe1 0.3333 0.6667 0.5000
As1 0.6667 0.3333 0.5000
```

=====

Entry 3:
This record from the Alexandria database describes crystalline Li2Zr2Pd5 at its relaxed geometry. The functional is PBE-GGA.

Output
The calculation puts the density of states at the Fermi level at 18.62 states/eV per cell. As for the formation energy: -466 meV/atom.

CIF file:
```
data_Li2Zr2Pd5
_symmetry_space_group_name_H-M 'I m a 2'
_symmetry_Int_Tables_number 46
_cell_length_a 13.953
_cell_length_b 7.175
_cell_length_c 5.757
_cell_angle_alpha 90.00
_cell_angle_beta 90.00
_cell_angle_gamma 90.00
loop_
_symmetry_equiv_pos_as_xyz
'x,y,z'
'-x,-y,z'
'-x+1/2,y,z'
'x+1/2,-y,z'
'x+1/2,y+1/2,z+1/2'
'-x+1/2,-y+1/2,z+1/2'
'-x,y+1/2,z+1/2'
'x,-y+1/2,z+1/2'
loop_
_atom_site_label
_atom_site_fract_x
_atom_site_fract_y
_atom_site_fract_z
Li1 0.073 0.040 0.000
Zr1 0.000 0.000 0.501
Zr2 0.250 0.550 0.003
Pd1 0.101 0.749 0.751
Pd2 0.150 0.247 0.254
Pd3 0.250 0.550 0.501
```

=====

Entry 4:
This record from the Alexandria database describes crystalline Na3ZrV at its relaxed geometry. The functional is PBE-GGA.

Output
The calculation puts the density of states at the Fermi level at 10.33 states/eV per cell. As for the formation energy: 1507 meV/atom.

CIF file:
```
data_Na3ZrV
_symmetry_space_group_name_H-M 'P m -3 m'
_symmetry_Int_Tables_number 221
_symmetry_space_group_name_Hall '-P 4 2 3'
_cell_length_a 5.375
_cell_length_b 5.375
_cell_length_c 5.375
_cell_angle_alpha 90.00
_cell_angle_beta 90.00
_cell_angle_gamma 90.00
loop_
_atom_site_label
_atom_site_fract_x
_atom_site_fract_y
_atom_site_fract_z
Na1 0.000 0.000 0.500
Zr1 0.500 0.500 0.500
V1 0.000 0.000 0.000
```